[1]
Compound: Sc3TlH
Source: Alexandria via LeMat-Bulk
Functional: PBE
Structure: optimized geometry

Symmetry = P2_1/c (14)
Size of the total moment = 0.00 μB/f.u.
Energy = -5.2665 eV per atom
DOS at the Fermi energy = 4.6 states/eV/f.u.
Energy above the lowest structure with this stoichiometry = 0.049 eV/atom

Cell: 7.894 5.060 12.271 Å, 90.00 128.20 90.00°
Element x y z (fractional)
Sc: 0.077 0.242 0.119
Sc: 0.077 0.258 0.619
Sc: 0.258 0.249 0.953
Sc: 0.258 0.251 0.453
Sc: 0.399 0.744 0.153
Sc: 0.399 0.756 0.653
Sc: 0.601 0.244 0.347
Sc: 0.601 0.256 0.847
Sc: 0.742 0.749 0.547
Sc: 0.742 0.751 0.047
Sc: 0.923 0.742 0.381
Sc: 0.923 0.758 0.881
Tl: 0.252 0.749 0.823
Tl: 0.252 0.751 0.323
Tl: 0.748 0.249 0.677
Tl: 0.748 0.251 0.177
H: 0.342 0.152 0.642
H: 0.342 0.348 0.142
H: 0.658 0.652 0.858
H: 0.658 0.848 0.358

=====

[2]
Compound: GaNiAu
Source: Alexandria via LeMat-Bulk
Functional: PBE
Structure: optimized geometry

Symmetry = Pmmn (59)
Size of the total moment = 0.00 μB/f.u.
Energy = -4.2316 eV per atom
DOS at the Fermi energy = 1.5 states/eV/f.u.
ΔE_f = -0.20 eV per atom

Cell: 2.891 3.345 9.104 Å, 90.00 90.00 90.00°
Element x y z (fractional)
Ga: 0.250 0.250 0.197
Ga: 0.750 0.750 0.803
Ni: 0.250 0.250 0.921
Ni: 0.750 0.750 0.079
Au: 0.250 0.250 0.612
Au: 0.750 0.750 0.388